Record 1
# K2YGaO4, relaxed, DFT GGA-PBE
# SG: Fddd (70)
# ΔE_f (raw): -1.8854 eV/atom
# DOS(E_F): 0.00 states/eV/cell
# final energy: -93.20 eV for the cell shown
data_K2YGaO4
_chemical_formula_sum 'K4 Y2 Ga2 O8'
_space_group_name_H-M_alt 'P 1'
_space_group_IT_number 1
_cell_length_a 5.606
_cell_length_b 6.877
_cell_length_c 11.507
_cell_angle_alpha 84.30
_cell_angle_beta 75.90
_cell_angle_gamma 65.95
loop_
_space_group_symop_operation_xyz
'x,y,z'
loop_
_atom_site_label
_atom_site_type_symbol
_atom_site_fract_x
_atom_site_fract_y
_atom_site_fract_z
O1 O 0.524 0.312 0.577
O2 O 0.336 0.812 0.077
O3 O 0.226 0.188 0.923
O4 O 0.586 0.188 0.077
O5 O 0.164 0.312 0.423
O6 O 0.414 0.688 0.423
O7 O 0.851 0.812 0.923
O8 O 0.899 0.688 0.577
K1 K 0.196 0.000 0.608
K2 K 0.804 0.000 0.392
K3 K 0.946 0.500 0.108
K4 K 0.554 0.500 0.892
Ga1 Ga 0.250 0.500 0.500
Ga2 Ga 0.500 0.000 0.000
Y1 Y 0.750 0.500 0.500
Y2 Y 0.000 0.000 0.000

Record 2
# KZnGaO3, relaxed, DFT GGA-PBE
# SG: P2_1/m (11)
# ΔE_f (raw): -1.5340 eV/atom
# final energy: -58.95 eV for the cell shown
data_KZnGaO3
_chemical_formula_sum 'K2 Zn2 Ga2 O6'
_space_group_name_H-M_alt 'P 1'
_space_group_IT_number 1
_cell_length_a 3.065
_cell_length_b 6.909
_cell_length_c 9.297
_cell_angle_alpha 104.73
_cell_angle_beta 90.00
_cell_angle_gamma 90.00
loop_
_space_group_symop_operation_xyz
'x,y,z'
loop_
_atom_site_label
_atom_site_type_symbol
_atom_site_fract_x
_atom_site_fract_y
_atom_site_fract_z
O1 O 0.250 0.176 0.820
O2 O 0.250 0.814 0.515
O3 O 0.750 0.186 0.485
O4 O 0.750 0.436 0.106
O5 O 0.250 0.564 0.894
O6 O 0.750 0.824 0.180
Ga1 Ga 0.750 0.356 0.892
Ga2 Ga 0.250 0.644 0.108
Zn1 Zn 0.750 0.862 0.402
Zn2 Zn 0.250 0.138 0.598
K1 K 0.750 0.781 0.741
K2 K 0.250 0.219 0.259